Record 1
First-principles (PBE) data for Ce6As2Ru after structural relaxation, as listed in the Alexandria database.

Cell lengths 3.8148, 8.1262, 8.1265 Å; angles 120.00, 90.00, 90.00 degrees
Closest atoms and distances in Å follow each position.
Fractional positions:
Ce1 0.5000 0.5762 0.0000  4 As 3.09, 2 Ce 3.23, 1 Ru 3.44
Ce2 0.5000 0.4238 0.4238  4 As 3.09, 2 Ce 3.23, 1 Ru 3.44
Ce3 0.5000 0.0000 0.5762  4 As 3.09, 2 Ce 3.23, 1 Ru 3.44
Ce4 0.0000 0.2552 0.0000  2 Ru 2.82, 2 As 3.08
Ce5 0.0000 0.7448 0.7449  2 Ru 2.82, 2 As 3.08
Ce6 0.0000 0.0000 0.2551  2 Ru 2.82, 2 As 3.08
As1 0.0000 0.3334 0.6667  9 Ce 3.08-3.09
As2 0.0000 0.6667 0.3333  9 Ce 3.08-3.09
Ru1 0.5000 0.9998 0.0000  6 Ce 2.82

Output
Energy of formation: -0.722 eV/atom
Raw total energy: -60.7 eV per cell
Size of the total moment: 2.5 Bohr magnetons per cell


Record 2
First-principles (PBE) data for MnFe2AsAu after structural relaxation, as listed in the Alexandria database.

Cell lengths 4.3851, 4.3436, 4.3851 Å; angles 90.00, 90.00, 90.00 degrees
Closest atoms and distances in Å follow each position.
Fractional positions:
As1 0.0000 0.0000 0.0000  2 Mn 2.17, 4 Fe 2.19
Mn1 0.0000 0.5000 0.0000  2 As 2.17
Au1 0.5000 0.5000 0.5000  8 Fe 3.09, 4 Mn 3.10
Fe1 0.0000 0.0000 0.5000  2 As 2.19
Fe2 0.5000 0.0000 0.0000  2 As 2.19

Output
Energy of formation: 0.792 eV/atom
Raw total energy: -30.1 eV per cell
Size of the total moment: 5.4 Bohr magnetons per cell


Record 3
First-principles (PBE) data for AcPr after structural relaxation, as listed in the Alexandria database.

Cell lengths 3.9564, 6.3715, 7.4447 Å; angles 115.34, 105.41, 90.00 degrees
Closest atoms and distances in Å follow each position.
Fractional positions:
Ac1 0.3851 0.1351 0.2702  6 Pr 3.76-3.78, 4 Ac 3.96-4.00
Ac2 0.6149 0.8649 0.7298  6 Pr 3.76-3.78, 4 Ac 3.96-4.00
Pr1 0.8644 0.6144 0.2289  4 Pr 3.55-3.96, 6 Ac 3.76-3.78
Pr2 0.1356 0.3856 0.7711  4 Pr 3.55-3.96, 6 Ac 3.76-3.78

Output
Energy of formation: 0.098 eV/atom
Raw total energy: -17.4 eV per cell
Size of the total moment: 0.0 Bohr magnetons per cell